Record 1
Here is an optimized crystal structure of Cs4RbTl3I8 from Alexandria via LeMat-Bulk. Energies are from GGA-PBE.

Cell lengths 18.408, 10.617, 10.621 Å; angles 90.00, 125.24, 90.00 degrees
Space group C2/m (No. 12)
Unique sites:
Cs1 0.000 0.000 0.000
Cs2 0.000 0.500 0.000
Cs3 0.250 0.250 0.500
Rb1 0.000 0.000 0.500
Tl1 0.000 0.500 0.500
Tl2 0.250 0.250 0.000
I1 0.009 0.254 0.745
I2 0.242 0.500 0.758
I3 0.245 0.000 0.763

The calculation puts the volume at 1695.5 Å³ per cell. The calculation puts the formation energy (no corrections) at -1.203 eV per atom. The value obtained for the calculated total energy is -2.70 eV per atom. For the calculated density, the calculation gives 4.4 g/cm3.

Record 2
Here is an optimized crystal structure of Ce2VIr from Alexandria via LeMat-Bulk. Energies are from GGA-PBE.

Cell lengths 3.5921, 3.5921, 25.3595 Å; angles 90.00, 90.00, 120.00 degrees
Space group R-3m (No. 166, hexagonal axes)
Unique sites:
Ce1 0.0000 0.0000 0.0918
V1 0.0000 0.0000 0.0000
Ir1 0.0000 0.0000 0.5000

The formation energy comes out at 0.35 eV/atom. The calculation puts the volume at 283.4 Å³ per cell. The value obtained for the calculated total energy is -7.11 eV per atom. For the calculated density, the calculation gives 9.2 g/cm3.

Record 3
Here is an optimized crystal structure of SrSb4 from Alexandria via LeMat-Bulk. Energies are from GGA-PBE.

Cell lengths 7.131, 7.131, 7.131 Å; angles 90.00, 90.00, 90.00 degrees
Space group Im-3m (No. 229)
Unique sites:
Sr1 0.000 0.000 0.000
Sb1 0.250 0.250 0.250

The calculation puts the volume at 362.6 Å³ per cell. The calculation puts the formation energy (no corrections) at 0.170 eV per atom. The value obtained for the calculated total energy is -3.46 eV per atom. For the calculated density, the calculation gives 5.3 g/cm3. The value obtained for the energy above the most stable polymorph in this dataset is 0.0 meV/atom.

Record 4
Here is an optimized crystal structure of Co7Pt2Rh2 from Alexandria via LeMat-Bulk. Energies are from GGA-PBE.

Cell lengths 4.721, 8.170, 7.270 Å; angles 90.00, 90.34, 90.00 degrees
Space group C2/m (No. 12)
Unique sites:
Co1 0.000 0.000 0.000
Co2 0.002 0.500 0.832
Co3 0.248 0.250 0.168
Pt1 0.000 0.333 0.500
Rh1 0.000 0.000 0.329

The formation energy comes out at 0.09 eV/atom. The calculation puts the volume at 280.4 Å³ per cell. The value obtained for the calculated total energy is -6.87 eV per atom. For the calculated density, the calculation gives 11.9 g/cm3.

Record 5
Here is an optimized crystal structure of NaErF5 from Alexandria via LeMat-Bulk. Energies are from GGA-PBE.

Cell lengths 4.194, 14.487, 6.068 Å; angles 90.00, 91.79, 90.00 degrees
Space group C2/c (No. 15)
Unique sites:
Na1 0.000 0.171 0.250
Er1 0.000 0.424 0.250
F1 0.000 0.120 0.750
F2 0.056 0.300 0.999
F3 0.218 0.453 0.592

The calculation puts the volume at 368.4 Å³ per cell. The calculation puts the formation energy (no corrections) at -3.102 eV per atom. The value obtained for the calculated total energy is -5.28 eV per atom. For the calculated density, the calculation gives 5.1 g/cm3.

Record 6
Here is an optimized crystal structure of SrTlTe2 from Alexandria via LeMat-Bulk. Energies are from GGA-PBE.

Cell lengths 8.076, 8.076, 8.076 Å; angles 90.00, 90.00, 90.00 degrees
Space group F-43m (No. 216)
Unique sites:
Sr1 0.000 0.000 0.000
Tl1 0.250 0.250 0.250
Te1 0.000 0.000 0.500
Te2 0.250 0.250 0.750

The calculation puts the volume at 526.6 Å³ per cell. The calculation puts the formation energy (no corrections) at -0.508 eV per atom. The value obtained for the calculated total energy is -3.09 eV per atom. For the calculated density, the calculation gives 6.9 g/cm3.

Record 7
Here is an optimized crystal structure of NdZrCo from Alexandria via LeMat-Bulk. Energies are from GGA-PBE.

Cell lengths 4.572, 4.572, 6.427 Å; angles 90.00, 90.00, 90.00 degrees
Space group P4/nmm (No. 129, origin choice 2)
Unique sites:
Nd1 0.250 0.250 0.117
Zr1 0.250 0.750 0.500
Co1 0.250 0.250 0.693

The formation energy comes out at -0.19 eV/atom. The calculation puts the volume at 134.4 Å³ per cell. The value obtained for the calculated total energy is -6.99 eV per atom. For the calculated density, the calculation gives 7.3 g/cm3. The value obtained for the energy above the most stable polymorph in this dataset is 0.0 meV/atom.

Record 8
Here is an optimized crystal structure of Ac8SnRu2 from Alexandria via LeMat-Bulk. Energies are from GGA-PBE.

Cell lengths 13.695, 9.158, 6.861 Å; angles 90.00, 93.84, 90.00 degrees
Space group C2/m (No. 12)
Unique sites:
Ac1 0.120 0.000 0.188
Ac2 0.131 0.500 0.108
Ac3 0.145 0.220 0.674
Sn1 0.000 0.500 0.500
Ru1 0.217 0.500 0.517

The formation energy comes out at -0.15 eV/atom. The calculation puts the volume at 858.6 Å³ per cell. The value obtained for the calculated total energy is -5.18 eV per atom. For the calculated density, the calculation gives 8.3 g/cm3.

Record 9
Here is an optimized crystal structure of Ce2InGe4Ir3 from Alexandria via LeMat-Bulk. Energies are from GGA-PBE.

Cell lengths 4.284, 4.284, 10.574 Å; angles 90.00, 90.00, 90.00 degrees
Space group P-4m2 (No. 115)
Unique sites:
Ce1 0.000 0.500 0.236
In1 0.000 0.000 0.500
Ge1 0.000 0.000 0.000
Ge2 0.000 0.500 0.651
Ge3 0.500 0.500 0.000
Ir1 0.000 0.500 0.879
Ir2 0.500 0.500 0.500

The formation energy comes out at -0.62 eV/atom. The calculation puts the volume at 194.1 Å³ per cell. The value obtained for the calculated total energy is -6.59 eV per atom. For the calculated density, the calculation gives 10.8 g/cm3.

Record 10
Here is an optimized crystal structure of Be2WBr from Alexandria via LeMat-Bulk. Energies are from GGA-PBE.

Cell lengths 4.448, 2.882, 4.913 Å; angles 90.00, 116.14, 90.00 degrees
Space group P2/m (No. 10)
Unique sites:
Be1 0.000 0.000 0.000
Be2 0.000 0.500 0.500
W1 0.500 0.000 0.500
Br1 0.500 0.500 0.000

The calculation puts the volume at 56.5 Å³ per cell. The calculation puts the formation energy (no corrections) at 0.960 eV per atom. The value obtained for the calculated total energy is -4.56 eV per atom. For the calculated density, the calculation gives 8.3 g/cm3. The value obtained for the energy above the most stable polymorph in this dataset is 573.8 meV/atom.